A) Below is a relaxed structure of BeSi2I, with properties calculated at the PBE-GGA level.

```
data_BeSi2I
_chemical_formula_sum 'Be2 Si4 I2'
_symmetry_space_group_name_H-M 'P 1'
_symmetry_Int_Tables_number 1
_cell_length_a 4.003
_cell_length_b 5.261
_cell_length_c 10.557
_cell_angle_alpha 89.49
_cell_angle_beta 82.90
_cell_angle_gamma 82.44
loop_
_symmetry_equiv_pos_as_xyz
'x,y,z'
loop_
_atom_site_label
_atom_site_type_symbol
_atom_site_fract_x
_atom_site_fract_y
_atom_site_fract_z
_atom_site_occupancy
Be1 Be 0.000 0.000 0.000 1
Be2 Be 0.204 0.276 0.111 1
Si1 Si 0.419 0.478 0.782 1
Si2 Si 0.501 0.100 0.909 1
Si3 Si 0.702 0.407 0.048 1
Si4 Si 0.848 0.672 0.868 1
I1 I 0.063 0.910 0.232 1
I2 I 0.469 0.425 0.547 1
```

=====

B) Below is a relaxed structure of BeSi2I, with properties calculated at the PBE-GGA level.

```
data_BeSi2I
_chemical_formula_sum 'Be1 Si2 I1'
_symmetry_space_group_name_H-M 'P 3 m 1'
_symmetry_Int_Tables_number 156
_cell_length_a 3.8861
_cell_length_b 3.8861
_cell_length_c 7.0744
_cell_angle_alpha 90.00
_cell_angle_beta 90.00
_cell_angle_gamma 120.00
loop_
_symmetry_equiv_pos_as_xyz
'x,y,z'
'-y,x-y,z'
'-x+y,-x,z'
'-y,-x,z'
'-x+y,y,z'
'x,x-y,z'
loop_
_atom_site_label
_atom_site_type_symbol
_atom_site_fract_x
_atom_site_fract_y
_atom_site_fract_z
_atom_site_occupancy
Be1 Be 0.0000 0.0000 0.0000 1
Si1 Si 0.0000 0.0000 0.3099 1
Si2 Si 0.6667 0.3333 0.4003 1
I1 I 0.3333 0.6667 0.8350 1
```

=====

Of them, A) has the highest stability.

=====

A) Below is a relaxed structure of BeSn2I2, with properties calculated at the PBE-GGA level.

```
data_BeSn2I2
_chemical_formula_sum 'Be2 Sn4 I4'
_symmetry_space_group_name_H-M 'P 4/m b m'
_symmetry_Int_Tables_number 127
_symmetry_space_group_name_Hall '-P 4 2ab'
_cell_length_a 6.829
_cell_length_b 6.829
_cell_length_c 6.731
_cell_angle_alpha 90.00
_cell_angle_beta 90.00
_cell_angle_gamma 90.00
loop_
_atom_site_label
_atom_site_type_symbol
_atom_site_fract_x
_atom_site_fract_y
_atom_site_fract_z
_atom_site_occupancy
Be1 Be 0.000 0.000 0.000 1
Sn1 Sn 0.215 0.285 0.500 1
I1 I 0.187 0.313 0.000 1
```

=====

B) Below is a relaxed structure of BeSn2I2, with properties calculated at the PBE-GGA level.

```
data_BeSn2I2
_chemical_formula_sum 'Be2 Sn4 I4'
_symmetry_space_group_name_H-M 'I 4/m m m'
_symmetry_Int_Tables_number 139
_symmetry_space_group_name_Hall '-I 4 2'
_cell_length_a 4.213
_cell_length_b 4.213
_cell_length_c 18.528
_cell_angle_alpha 90.00
_cell_angle_beta 90.00
_cell_angle_gamma 90.00
loop_
_atom_site_label
_atom_site_type_symbol
_atom_site_fract_x
_atom_site_fract_y
_atom_site_fract_z
_atom_site_occupancy
Be1 Be 0.000 0.000 0.000 1
Sn1 Sn 0.000 0.500 0.250 1
I1 I 0.000 0.000 0.402 1
```

=====

Of them, A) has the highest stability.

=====

A) Below is a relaxed structure of Be2SnI, with properties calculated at the PBE-GGA level.

```
data_Be2SnI
_chemical_formula_sum 'Be8 Sn4 I4'
_symmetry_space_group_name_H-M 'I -4 2 d'
_symmetry_Int_Tables_number 122
_symmetry_space_group_name_Hall 'I -4 2bw'
_cell_length_a 5.815
_cell_length_b 5.815
_cell_length_c 11.388
_cell_angle_alpha 90.00
_cell_angle_beta 90.00
_cell_angle_gamma 90.00
loop_
_atom_site_label
_atom_site_type_symbol
_atom_site_fract_x
_atom_site_fract_y
_atom_site_fract_z
_atom_site_occupancy
Be1 Be 0.235 0.250 0.125 1
Sn1 Sn 0.000 0.000 0.000 1
I1 I 0.000 0.000 0.500 1
```

=====

B) Below is a relaxed structure of Be2SnI, with properties calculated at the PBE-GGA level.

```
data_Be2SnI
_chemical_formula_sum 'Be8 Sn4 I4'
_symmetry_space_group_name_H-M 'F m -3 m'
_symmetry_Int_Tables_number 225
_symmetry_space_group_name_Hall '-F 4 2 3'
_cell_length_a 6.793
_cell_length_b 6.793
_cell_length_c 6.793
_cell_angle_alpha 90.00
_cell_angle_beta 90.00
_cell_angle_gamma 90.00
loop_
_atom_site_label
_atom_site_type_symbol
_atom_site_fract_x
_atom_site_fract_y
_atom_site_fract_z
_atom_site_occupancy
Be1 Be 0.250 0.250 0.250 1
Sn1 Sn 0.000 0.000 0.000 1
I1 I 0.000 0.000 0.500 1
```

=====

Of them, A) has the highest stability.